AcAg3Pd2 | PBE-GGA | relaxed

Calculated values
Relative energy among the computed polymorphs, meV/atom: 265
E_tot, eV per formula unit: -23.953
Energy of formation, eV/f.u.: -0.9

Cell and atoms, written as CIF:
```
data_AcAg3Pd2
_chemical_formula_sum 'Ac6 Ag18 Pd12'
_cell_length_a 6.3781
_cell_length_b 6.3781
_cell_length_c 21.4253
_cell_angle_alpha 90.00
_cell_angle_beta 90.00
_cell_angle_gamma 120.00
_space_group_name_H-M_alt 'R -3 m'
_space_group_IT_number 166
_space_group_name_Hall '-R 3 2"'
loop_
_atom_site_label
_atom_site_fract_x
_atom_site_fract_y
_atom_site_fract_z
_atom_site_occupancy
Ac1 0.0000 0.0000 0.2287 1
Ag1 0.0201 0.5101 0.2293 1
Pd1 0.0000 0.0000 0.0000 1
Pd2 0.0000 0.5000 0.0000 1
```